Density functional theory data (PBE+U) for a geometry-optimized Ca3Cr2Ge3O12 structure.

- E: -7.005 eV/atom
- Calculated density: 4.4 Mg/m³
- D(E_F): 0.00 states/eV per atom

Structure (POSCAR):
```
Ca3Cr2Ge3O12
1.0
-6.2212 6.2212 6.2212
6.2212 -6.2212 6.2212
6.2212 6.2212 -6.2212
Ca Cr Ge O
12 8 12 48
Cartesian
3.1106 1.5553 0.0000
6.2212 3.1106 -1.5553
1.5553 0.0000 3.1106
7.7765 0.0000 3.1106
0.0000 3.1106 1.5553
3.1106 -1.5553 6.2212
3.1106 7.7765 0.0000
6.2212 3.1106 4.6659
-1.5553 6.2212 3.1106
4.6659 6.2212 3.1106
0.0000 3.1106 7.7765
3.1106 4.6659 6.2212
0.0000 0.0000 0.0000
3.1106 3.1106 -3.1106
3.1106 -3.1106 3.1106
6.2212 0.0000 0.0000
-3.1106 3.1106 3.1106
0.0000 6.2212 0.0000
0.0000 0.0000 6.2212
3.1106 3.1106 3.1106
9.3318 1.5553 0.0000
6.2212 -3.1106 4.6659
4.6659 6.2212 -3.1106
4.6659 0.0000 3.1106
3.1106 4.6659 0.0000
6.2212 3.1106 1.5553
0.0000 3.1106 4.6659
3.1106 1.5553 6.2212
1.5553 6.2212 3.1106
1.5553 0.0000 9.3318
0.0000 9.3318 1.5553
-3.1106 4.6659 6.2212
1.8885 -0.4138 0.6295
7.4433 3.7401 -3.5244
8.1097 0.4138 0.6295
7.4433 -2.4811 3.5244
5.8073 -0.6295 1.8885
9.7456 -1.2221 2.4811
0.6295 1.8885 -0.4138
8.7022 2.6968 -1.2221
3.7401 3.5244 -1.2221
5.5916 1.8885 0.4138
-0.4138 0.6295 1.8885
3.5244 -1.2221 3.7401
5.8073 5.5916 -1.8885
3.5244 1.2221 2.4811
3.7401 -3.5244 7.4433
5.5916 -1.8885 5.8073
2.4811 3.5244 1.2221
6.8507 4.3327 0.4138
3.5244 7.4433 -2.4811
5.8073 0.6295 4.3327
1.8885 5.8073 -0.6295
7.4433 2.4811 2.6968
1.2221 2.4811 3.5244
1.8885 0.4138 5.5916
4.3327 5.8073 0.6295
4.9991 3.7401 2.6968
-1.2221 3.7401 3.5244
4.3327 0.4138 6.8507
0.4138 5.5916 1.8885
2.6968 -1.2221 8.7022
-0.6295 1.8885 5.8073
3.7401 2.6968 4.9991
0.6295 8.1097 0.4138
2.4811 9.7456 -1.2221
2.6968 4.9991 3.7401
0.4138 0.6295 8.1097
2.6968 7.4433 2.4811
6.6350 5.5916 4.3327
0.6295 4.3327 5.8073
2.4811 2.6968 7.4433
-2.4811 3.5244 7.4433
5.5916 4.3327 6.6350
-3.5244 7.4433 3.7401
0.4138 6.8507 4.3327
-1.2221 8.7022 2.6968
-1.8885 5.8073 5.5916
-1.2221 2.4811 9.7456
4.3327 6.6350 5.5916
```



Density functional theory data (PBE+U) for a geometry-optimized CaCrGeO4 structure.

- E: -6.866 eV/atom
- Calculated density: 4.4 Mg/m³

Structure (POSCAR):
```
CaCrGeO4
1.0
-3.1435 3.2170 4.2995
3.1435 -3.2170 4.2995
3.1435 3.2170 -4.2995
Ca Cr Ge O
2 2 2 8
Cartesian
0.0000 0.0000 0.0000
0.0000 3.2170 0.0000
-1.5718 1.6085 2.1497
1.5718 1.6085 2.1497
3.1435 1.6085 -0.9729
0.0000 1.6085 5.2724
3.1435 -0.1249 1.9983
3.1435 3.0921 -1.9983
1.6682 1.6085 0.0831
4.6189 1.6085 0.0831
-1.4754 1.6085 4.2164
1.4754 1.6085 4.2164
0.0000 0.1249 6.2978
0.0000 3.3419 2.3012
```